Entry from Alexandria: a relaxed structure of InAg2Au3 (PBE-GGA).

Computed properties:
Volume = 223.5 Å³ per cell
SG = Pmmn, No. 59
Energy relative to the elements = -71 meV/atom
Excess energy over the best structure of this formula in the dataset = 0.008 eV/atom
Crystal system = orthorhombic
Raw total energy = -3.1165 eV/atom
DOS(E_F) = 1.1 states/eV/f.u.
M_tot = 0.0 μB per cell

a b c (Å): 4.9564 4.8038 9.3864
angles (deg): 90.00 90.00 90.00
With the nearest neighbours (Å) after each atom.
Sites, in units of the cell vectors:
In  0.9313  0.5000  0.5000  6 Au 2.92-2.99, 6 Ag 2.95-3.13
In  0.0687  0.0000  0.0000  6 Au 2.92-2.99, 6 Ag 2.95-3.13
Ag  0.0716  0.0000  0.6667  6 Au 2.92-2.98, 3 In 2.95-3.13, 3 Ag 2.95-3.13
Ag  0.0716  0.0000  0.3333  6 Au 2.92-2.98, 3 In 2.95-3.13, 3 Ag 2.95-3.13
Ag  0.9284  0.5000  0.1667  6 Au 2.92-2.98, 3 In 2.95-3.13, 3 Ag 2.95-3.13
Ag  0.9284  0.5000  0.8333  6 Au 2.92-2.98, 3 In 2.95-3.13, 3 Ag 2.95-3.13
Au  0.4276  0.5000  0.6684  4 Ag 2.92-2.98, 2 In 2.92-2.95, 6 Au 2.94-3.16
Au  0.5705  0.0000  0.5000  4 Ag 2.93-2.94, 6 Au 2.96-3.11, 2 In 2.99
Au  0.4276  0.5000  0.3316  4 Ag 2.92-2.98, 2 In 2.92-2.95, 6 Au 2.94-3.16
Au  0.5724  0.0000  0.1684  4 Ag 2.92-2.98, 2 In 2.92-2.95, 6 Au 2.94-3.16
Au  0.4295  0.5000  0.0000  4 Ag 2.93-2.94, 6 Au 2.96-3.11, 2 In 2.99
Au  0.5724  0.0000  0.8316  4 Ag 2.92-2.98, 2 In 2.92-2.95, 6 Au 2.94-3.16

***

Entry from Alexandria: a relaxed structure of In5Ag2Au12 (PBE-GGA).

Computed properties:
Volume = 389.3 Å³ per cell
SG = C2/m, No. 12
Energy relative to the elements = -70 meV/atom
Excess energy over the best structure of this formula in the dataset = 0.000 eV/atom
Crystal system = monoclinic
Raw total energy = -3.1611 eV/atom
DOS(E_F) = 5.5 states/eV/f.u.
M_tot = 0.0 μB per cell

a b c (Å): 7.6725 7.3863 7.3863
angles (deg): 75.25 77.45 77.45
With the nearest neighbours (Å) after each atom.
Sites, in units of the cell vectors:
In  0.0955  0.3080  0.3080  5 Au 2.77-2.99, 2 Ag 3.00
In  0.5809  0.3096  0.3096  9 Au 2.79-3.00
In  0.5000  0.0000  0.0000  8 Au 2.90-2.97
In  0.4191  0.6904  0.6904  9 Au 2.79-3.00
In  0.9045  0.6920  0.6920  5 Au 2.77-2.99, 2 Ag 3.00
Ag  0.0000  0.7303  0.2697  8 Au 2.82-2.87, 2 In 3.00
Ag  0.0000  0.2697  0.7303  8 Au 2.82-2.87, 2 In 3.00
Au  0.9247  0.1281  0.1281  2 In 2.77-2.90, 2 Ag 2.83, 3 Au 2.90-2.98
Au  0.3611  0.0894  0.6366  3 In 2.82-2.97, 1 Ag 2.82, 6 Au 2.94-3.06
Au  0.3611  0.6366  0.0894  3 In 2.82-2.97, 1 Ag 2.82, 6 Au 2.94-3.06
Au  0.7500  0.0834  0.6467  1 Ag 2.84, 3 In 2.84-3.00, 4 Au 2.96-3.06
Au  0.7500  0.6467  0.0834  1 Ag 2.84, 3 In 2.84-3.00, 4 Au 2.96-3.06
Au  0.7427  0.4965  0.4965  4 In 2.79-2.99, 2 Ag 2.87, 4 Au 2.95-2.96
Au  0.2573  0.5035  0.5035  4 In 2.79-2.99, 2 Ag 2.87, 4 Au 2.95-2.96
Au  0.2500  0.9166  0.3533  1 Ag 2.84, 3 In 2.84-3.00, 4 Au 2.96-3.06
Au  0.2500  0.3533  0.9166  1 Ag 2.84, 3 In 2.84-3.00, 4 Au 2.96-3.06
Au  0.6389  0.9106  0.3634  3 In 2.82-2.97, 1 Ag 2.82, 6 Au 2.94-3.06
Au  0.6389  0.3634  0.9106  3 In 2.82-2.97, 1 Ag 2.82, 6 Au 2.94-3.06
Au  0.0753  0.8719  0.8719  2 In 2.77-2.90, 2 Ag 2.83, 3 Au 2.90-2.98

***

Entry from Alexandria: a relaxed structure of InAg8Au2 (PBE-GGA).

Computed properties:
Volume = 201.1 Å³ per cell
SG = C2/m, No. 12
Energy relative to the elements = -21 meV/atom
Excess energy over the best structure of this formula in the dataset = 0.000 eV/atom
Crystal system = monoclinic
Raw total energy = -2.9396 eV/atom
DOS(E_F) = 3.7 states/eV/f.u.
M_tot = 0.0 μB per cell

a b c (Å): 4.2000 6.5836 7.8182
angles (deg): 104.46 105.58 90.00
With the nearest neighbours (Å) after each atom.
Sites, in units of the cell vectors:
In  0.5000  0.0000  0.0000  12 Ag 2.97-2.98
Ag  0.5918  0.4574  0.1836  8 Ag 2.93-2.99, 3 Au 2.95, 1 In 2.97
Ag  0.3169  0.0899  0.6338  8 Ag 2.92-2.97, 3 Au 2.94-2.95, 1 In 2.97
Ag  0.1380  0.1861  0.2760  3 Au 2.92-2.95, 7 Ag 2.92-2.99, 2 In 2.98
Ag  0.0470  0.7251  0.0940  1 Au 2.92, 9 Ag 2.93-2.99, 2 In 2.98
Ag  0.8620  0.8139  0.7240  3 Au 2.92-2.95, 7 Ag 2.92-2.99, 2 In 2.98
Ag  0.6831  0.9101  0.3662  8 Ag 2.92-2.97, 3 Au 2.94-2.95, 1 In 2.97
Ag  0.4082  0.5426  0.8164  8 Ag 2.93-2.99, 3 Au 2.95, 1 In 2.97
Ag  0.9530  0.2749  0.9060  1 Au 2.92, 9 Ag 2.93-2.99, 2 In 2.98
Au  0.2269  0.6365  0.4538  10 Ag 2.92-2.95, 2 Au 2.96
Au  0.7731  0.3635  0.5462  10 Ag 2.92-2.95, 2 Au 2.96

***

Entry from Alexandria: a relaxed structure of In2Ag3Au7 (PBE-GGA).

Computed properties:
Volume = 243.1 Å³ per cell
SG = P2/m, No. 10
Energy relative to the elements = -41 meV/atom
Crystal system = monoclinic
Raw total energy = -3.1220 eV/atom
DOS(E_F) = 3.9 states/eV/f.u.
M_tot = 0.0 μB per cell

a b c (Å): 4.0458 3.9961 15.1602
angles (deg): 82.71 90.00 90.00
With the nearest neighbours (Å) after each atom.
Sites, in units of the cell vectors:
In  0.5000  0.3534  0.2868  6 Au 2.86-2.92, 2 Ag 2.93
In  0.5000  0.6466  0.7132  6 Au 2.86-2.92, 2 Ag 2.93
Ag  0.5000  0.5000  0.0000  12 Au 2.84-3.04
Ag  0.0000  0.2848  0.4276  6 Au 2.84-3.02, 2 In 2.93, 2 Ag 2.95
Ag  0.0000  0.7152  0.5724  6 Au 2.84-3.02, 2 In 2.93, 2 Ag 2.95
Au  0.5000  0.7871  0.4232  6 Ag 2.84-3.02, 2 In 2.86-2.87, 2 Au 3.05
Au  0.5000  0.2129  0.5768  6 Ag 2.84-3.02, 2 In 2.86-2.87, 2 Au 3.05
Au  0.0000  0.4235  0.1505  6 Au 2.84-3.03, 2 In 2.88, 2 Ag 3.04
Au  0.0000  0.0000  0.0000  4 Ag 2.84, 8 Au 2.99-3.03
Au  0.0000  0.5765  0.8495  6 Au 2.84-3.03, 2 In 2.88, 2 Ag 3.04
Au  0.5000  0.0749  0.8533  6 Au 2.84-2.99, 2 In 2.89-2.92, 2 Ag 2.97-2.99
Au  0.5000  0.9251  0.1467  6 Au 2.84-2.99, 2 In 2.89-2.92, 2 Ag 2.97-2.99

***

Entry from Alexandria: a relaxed structure of In2AgAu (PBE-GGA).

Computed properties:
Volume = 84.3 Å³ per cell
SG = Pmmm, No. 47
Energy relative to the elements = -39 meV/atom
Crystal system = orthorhombic
Raw total energy = -2.9402 eV/atom
DOS(E_F) = 1.5 states/eV/f.u.
M_tot = 0.0 μB per cell

a b c (Å): 4.5010 4.4897 4.1727
angles (deg): 90.00 90.00 90.00
With the nearest neighbours (Å) after each atom.
Sites, in units of the cell vectors:
Au  0.0000  0.5000  0.5000  8 In 3.06-3.07, 4 Ag 3.18
Ag  0.5000  0.0000  0.5000  8 In 3.06-3.07, 4 Au 3.18
In  0.0000  0.0000  0.0000  4 Au 3.06, 4 Ag 3.07, 4 In 3.18
In  0.5000  0.5000  0.0000  4 Ag 3.06, 4 Au 3.07, 4 In 3.18

***

Entry from Alexandria: a relaxed structure of InAgIrAu (PBE-GGA).

Computed properties:
Volume = 70.9 Å³ per cell
SG = F-43m, No. 216
Energy relative to the elements = 106 meV/atom
Crystal system = cubic
Raw total energy = -4.3263 eV/atom
DOS(E_F) = 2.8 states/eV/f.u.
M_tot = 0.0 μB per cell

a b c (Å): 4.6458 4.6458 4.6458
angles (deg): 60.00 60.00 60.00
With the nearest neighbours (Å) after each atom.
Sites, in units of the cell vectors:
Ir  0.5000  0.5000  0.5000  4 In 2.84, 4 Au 2.84
Au  0.7500  0.7500  0.7500  4 Ir 2.84, 4 Ag 2.84
Ag  0.0000  0.0000  0.0000  4 In 2.84, 4 Au 2.84
In  0.2500  0.2500  0.2500  4 Ir 2.84, 4 Ag 2.84